Record 1
Compound: Be17VAu
Source: Alexandria via LeMat-Bulk
Functional: PBE-GGA
Structure: relaxed

Values from the calculation:
ρ (Mg/m³): 4.009
Energy of formation from the pure elements (meV/atom): -70
Total magnetization (Bohr magnetons per cell): 0.04

Unit cell a=7.3015 b=7.3015 c=10.7962 alpha=90.00 beta=90.00 gamma=120.00
Space group R3m (No. 160, hexagonal axes)
Inequivalent atoms, fractional coordinates:
Be (0.0000, 0.0000, 0.0515)
Be (0.0000, 0.0000, 0.2523)
Be (0.0001, 0.3028, 0.1532)
Be (0.0021, 0.5010, 0.3133)
Be (0.0149, 0.5074, 0.6466)
Be (0.1685, 0.3370, 0.3333)
V (0.0000, 0.0000, 0.8189)
Au (0.0000, 0.0000, 0.5183)

***

Record 2
Compound: Be2VAu2
Source: Alexandria via LeMat-Bulk
Functional: PBE-GGA
Structure: relaxed

Values from the calculation:
ρ (Mg/m³): 10.501
Energy of formation from the pure elements (meV/atom): 176
Total magnetization (Bohr magnetons per cell): 5.39

Unit cell a=3.9384 b=3.9384 c=9.4383 alpha=90.00 beta=90.00 gamma=90.00
Space group I4/mmm (No. 139)
Inequivalent atoms, fractional coordinates:
Be (0.0000, 0.0000, 0.1104)
V (0.0000, 0.0000, 0.5000)
Au (0.0000, 0.5000, 0.2500)

***

Record 3
Compound: Be2VAu2
Source: Alexandria via LeMat-Bulk
Functional: PBE-GGA
Structure: relaxed

Values from the calculation:
ρ (Mg/m³): 11.465
Energy of formation from the pure elements (meV/atom): -24
Total magnetization (Bohr magnetons per cell): 4.60

Unit cell a=6.8267 b=6.8267 c=2.8771 alpha=90.00 beta=90.00 gamma=90.00
Space group P4/mbm (No. 127)
Inequivalent atoms, fractional coordinates:
Be (0.1236, 0.3764, 0.0000)
V (0.0000, 0.0000, 0.0000)
Au (0.1733, 0.6733, 0.5000)

***

Record 4
Compound: Be2VAu
Source: Alexandria via LeMat-Bulk
Functional: PBE-GGA
Structure: relaxed

Values from the calculation:
ρ (Mg/m³): 8.452
Energy of formation from the pure elements (meV/atom): 393
Total magnetization (Bohr magnetons per cell): 0.00

Unit cell a=6.3210 b=6.3210 c=5.2306 alpha=90.00 beta=90.00 gamma=90.00
Space group I-42d (No. 122)
Inequivalent atoms, fractional coordinates:
Be (0.2396, 0.2500, 0.1250)
V (0.0000, 0.0000, 0.5000)
Au (0.0000, 0.0000, 0.0000)

***

Record 5
Compound: Be2VAu
Source: Alexandria via LeMat-Bulk
Functional: PBE-GGA
Structure: relaxed

Values from the calculation:
ρ (Mg/m³): 9.215
Energy of formation from the pure elements (meV/atom): -16
Total magnetization (Bohr magnetons per cell): 0.00

Unit cell a=2.7845 b=2.7845 c=6.1808 alpha=90.00 beta=90.00 gamma=90.00
Space group P4/mmm (No. 123)
Inequivalent atoms, fractional coordinates:
Be (0.0000, 0.0000, 0.2472)
V (0.5000, 0.5000, 0.0000)
Au (0.5000, 0.5000, 0.5000)

***

Record 6
Compound: Be2V2Au
Source: Alexandria via LeMat-Bulk
Functional: PBE-GGA
Structure: relaxed

Values from the calculation:
ρ (Mg/m³): 8.693
Energy of formation from the pure elements (meV/atom): -116
Total magnetization (Bohr magnetons per cell): 0.00

Unit cell a=5.8952 b=5.8952 c=3.4835 alpha=90.00 beta=90.00 gamma=90.00
Space group P4/mbm (No. 127)
Inequivalent atoms, fractional coordinates:
Be (0.1277, 0.3723, 0.0000)
V (0.1589, 0.6589, 0.5000)
Au (0.0000, 0.0000, 0.0000)

***

Record 7
Compound: Be2VAu2
Source: Alexandria via LeMat-Bulk
Functional: PBE-GGA
Structure: relaxed

Values from the calculation:
ρ (Mg/m³): 11.184
Energy of formation from the pure elements (meV/atom): 113
Total magnetization (Bohr magnetons per cell): 1.41

Unit cell a=7.1482 b=7.1482 c=2.6901 alpha=90.00 beta=90.00 gamma=90.00
Space group P4/mbm (No. 127)
Inequivalent atoms, fractional coordinates:
Be (0.1609, 0.3391, 0.0000)
V (0.0000, 0.0000, 0.5000)
Au (0.1407, 0.6407, 0.5000)

***

Record 8
Compound: Be5VAu4
Source: Alexandria via LeMat-Bulk
Functional: PBE-GGA
Structure: relaxed

Values from the calculation:
ρ (Mg/m³): 11.595
Energy of formation from the pure elements (meV/atom): -55
Total magnetization (Bohr magnetons per cell): 0.00

Unit cell a=2.9024 b=2.9024 c=15.0265 alpha=90.00 beta=90.00 gamma=90.00
Space group P4/mmm (No. 123)
Inequivalent atoms, fractional coordinates:
Be (0.0000, 0.0000, 0.0000)
Be (0.0000, 0.0000, 0.2021)
Be (0.0000, 0.0000, 0.4006)
V (0.5000, 0.5000, 0.5000)
Au (0.5000, 0.5000, 0.1028)
Au (0.5000, 0.5000, 0.3044)